(1)
Y2HoIn | the Alexandria database | PBE | optimized geometry; energy above the lowest structure with this stoichiometry = 0 meV/atom; space group = No. 123; electronic total energy = -0.3919 Ry/atom; formation energy from the elements = -0.27 eV per atom; DOS(E_F) = 1.41 states/eV/atom; M_tot = 0.557 μB/cell
1.0
4.860 0.000 0.000
0.000 4.860 0.000
0.000 0.000 4.830
Y Ho In
2 1 1
Cartesian
0.000 2.430 0.000
2.430 0.000 0.000
0.000 0.000 2.415
2.430 2.430 2.415

(2)
CaTaAsO5 | the Alexandria database | PBE | optimized geometry; space group = No. 15; electronic total energy = -0.5710 Ry/atom; DOS(E_F) = 0.00 states/eV/atom; raw formation energy = -18.859 eV/f.u.; M_tot = 0.000 μB/cell
1.0
3.783 -4.454 0.000
3.783 4.454 0.000
-3.341 0.000 6.906
Ca Ta As O
2 2 2 10
Cartesian
1.277 3.920 5.179
2.948 -3.920 1.726
1.891 2.227 0.000
0.221 -2.227 3.453
1.277 0.515 5.179
2.948 -0.515 1.726
1.497 0.296 0.297
0.278 1.827 5.949
2.948 2.375 1.726
-0.174 -0.296 3.750
2.276 1.827 4.410
1.949 -1.827 2.496
4.399 0.296 3.156
1.277 -2.375 5.179
3.946 -1.827 0.957
2.728 -0.296 6.609

(3)
Rb2HfInS5 | the Alexandria database | PBE | optimized geometry; space group = No. 36; electronic total energy = -0.3649 Ry/atom; DOS(E_F) = 0.35 states/eV/atom; raw formation energy = -9.424 eV/f.u.; M_tot = 1.892 μB/cell
1.0
1.902 -9.835 0.000
1.902 9.835 0.000
0.000 0.000 14.348
Rb Hf In S
4 2 2 10
Cartesian
1.902 7.477 7.174
1.902 7.077 1.785
1.902 -7.077 8.959
1.902 -7.477 0.000
1.902 5.654 11.964
1.902 -5.654 4.790
1.902 1.245 3.623
1.902 -1.245 10.796
1.902 8.459 12.388
1.902 4.125 6.453
1.902 3.754 2.997
1.902 3.265 11.742
1.902 0.015 1.567
1.902 -0.015 8.740
1.902 -3.265 4.568
1.902 -3.754 10.170
1.902 -4.125 13.626
1.902 -8.459 5.214

(4)
NaScRh2Br | the Alexandria database | PBE | optimized geometry; space group = No. 123; electronic total energy = -0.2672 Ry/atom; DOS(E_F) = 1.50 states/eV/atom; raw formation energy = 5.850 eV/f.u.; M_tot = 0.860 μB/cell
1.0
4.648 0.000 0.000
0.000 4.648 0.000
0.000 0.000 5.127
Na Sc Rh Br
1 1 2 1
Cartesian
0.000 0.000 0.000
0.000 0.000 2.563
0.000 2.324 0.000
2.324 0.000 0.000
2.324 2.324 2.563

(5)
ReOsSe3 | the Alexandria database | PBE | optimized geometry; energy above the lowest structure with this stoichiometry = 0 meV/atom; space group = No. 221; electronic total energy = -0.3854 Ry/atom; DOS(E_F) = 1.49 states/eV/atom; raw formation energy = 7.913 eV/f.u.; M_tot = 0.000 μB/cell
1.0
4.774 0.000 0.000
0.000 4.774 0.000
0.000 0.000 4.774
Re Os Se
1 1 3
Cartesian
0.000 0.000 0.000
2.387 2.387 2.387
0.000 0.000 2.387
0.000 2.387 0.000
2.387 0.000 0.000

(6)
La3CeNd8 | the Alexandria database | PBE | optimized geometry; space group = No. 121; electronic total energy = -0.3243 Ry/atom; formation energy from the elements = 0.49 eV per atom; DOS(E_F) = 1.74 states/eV/atom; M_tot = 0.000 μB/cell
1.0
-4.452 4.452 5.768
4.452 -4.452 5.768
4.452 4.452 -5.768
La Ce Nd
3 1 8
Cartesian
0.000 0.000 0.000
4.452 0.000 2.884
0.000 4.452 2.884
0.000 0.000 5.768
3.381 3.381 -2.777
2.113 -2.113 5.536
2.340 2.340 0.232
1.071 1.071 2.991
1.071 -1.071 8.545
-2.113 2.113 5.536
2.113 2.113 6.000
-1.071 1.071 8.545